No. 1
The following is a DFT calculation (PBE) of an optimized crystal structure of CeSmZn4.

Output
- ΔH_f (0 K) (eV/f.u.) = -1.903
- M_tot (μB per formula unit) = 0.49
- energy relative to the lowest polymorph listed for this composition (kJ/mol of formula units) = 0

Cell: 4.5993 6.9007 7.8978 Å, 90.00 90.00 90.00°
Space group Immm (No. 71)
Asymmetric unit:
Ce 0.0000 0.0000 0.0000 (multiplicity 2)
Sm 0.0000 0.5000 0.0000 (multiplicity 2)
Zn 0.0000 0.2665 0.3335 (multiplicity 8)

=====

No. 2
The following is a DFT calculation (PBE) of an optimized crystal structure of Tb2Al5Pd3.

Output
- ΔH_f (0 K) (eV/f.u.) = -7.869
- M_tot (μB per formula unit) = 0.00
- energy relative to the lowest polymorph listed for this composition (kJ/mol of formula units) = 10

Cell: 4.3544 25.1914 6.7202 Å, 90.00 90.00 90.00°
Space group Cmc2_1 (No. 36)
Asymmetric unit:
Tb 0.0000 0.0178 0.0000 (multiplicity 4)
Tb 0.0000 0.3255 0.9665 (multiplicity 4)
Al 0.0000 0.1024 0.6527 (multiplicity 4)
Al 0.0000 0.2075 0.1554 (multiplicity 4)
Al 0.0000 0.2109 0.7541 (multiplicity 4)
Al 0.0000 0.3734 0.4897 (multiplicity 4)
Al 0.0000 0.4454 0.8214 (multiplicity 4)
Pd 0.0000 0.1079 0.2561 (multiplicity 4)
Pd 0.0000 0.2731 0.4522 (multiplicity 4)
Pd 0.0000 0.4491 0.2150 (multiplicity 4)

=====

No. 3
The following is a DFT calculation (PBE) of an optimized crystal structure of CeNbO4F.

Output
- M_tot (μB per formula unit) = 0.00
- energy (Ha/atom) = -0.3082

Cell: 9.8052 7.3945 7.2006 Å, 90.00 109.28 90.00°
Space group C2/m (No. 12)
Asymmetric unit:
Ce 0.2121 0.0000 0.1220 (multiplicity 4)
Nb 0.1514 0.5000 0.2823 (multiplicity 4)
O 0.0486 0.5000 0.7794 (multiplicity 4)
O 0.2068 0.3050 0.1553 (multiplicity 8)
O 0.2439 0.5000 0.5532 (multiplicity 4)
F 0.0197 0.0000 0.8362 (multiplicity 4)